Record 1
An optimized crystal structure of GaReO4. Source: Alexandria via LeMat-Bulk, functional PBE.

Values from the calculation:
magnetic moment	2.98	Bohr magnetons per cell
D(E_F)	0.3432	states/eV/atom
DFT total energy	-7.427	eV/atom
formation energy (no corrections)	-9.26	eV per formula unit
crystal system	monoclinic

Cell lengths 5.554, 4.596, 5.572 Å; angles 90.00, 112.58, 90.00 degrees
Space group P2_1/c (No. 14)
Symmetry-distinct sites (fractional):
Ga: 0.000 0.000 0.000 [2 per cell]
Re: 0.500 0.000 0.500 [2 per cell]
O: 0.159 0.189 0.351 [4 per cell]
O: 0.352 0.704 0.658 [4 per cell]

Record 2
An optimized crystal structure of ErThPt6. Source: Alexandria via LeMat-Bulk, functional PBE.

Values from the calculation:
magnetic moment	0.00	Bohr magnetons per cell
D(E_F)	0.3192	states/eV/atom
DFT total energy	-7.143	eV/atom
formation enthalpy at 0 K	-1114	meV per atom
crystal system	tetragonal

Cell lengths 4.177, 4.177, 8.305 Å; angles 90.00, 90.00, 90.00 degrees
Space group P4/mmm (No. 123)
Symmetry-distinct sites (fractional):
Er: 0.000 0.000 0.000 [1 per cell]
Th: 0.000 0.000 0.500 [1 per cell]
Pt: 0.000 0.500 0.244 [4 per cell]
Pt: 0.500 0.500 0.000 [1 per cell]
Pt: 0.500 0.500 0.500 [1 per cell]

Record 3
An optimized crystal structure of Mn2GaReC. Source: Alexandria via LeMat-Bulk, functional PBE.

Values from the calculation:
magnetic moment	3.35	Bohr magnetons per cell
D(E_F)	0.6146	states/eV/atom
DFT total energy	-8.585	eV/atom
formation enthalpy at 0 K	23	meV per atom
crystal system	tetragonal

Cell lengths 3.846, 3.846, 4.085 Å; angles 90.00, 90.00, 90.00 degrees
Space group P4/mmm (No. 123)
Symmetry-distinct sites (fractional):
Mn: 0.000 0.500 0.000 [2 per cell]
Ga: 0.000 0.000 0.500 [1 per cell]
Re: 0.500 0.500 0.500 [1 per cell]
C: 0.500 0.500 0.000 [1 per cell]

Record 4
An optimized crystal structure of MgScTiNb. Source: Alexandria via LeMat-Bulk, functional PBE.

Values from the calculation:
magnetic moment	0.01	Bohr magnetons per cell
D(E_F)	1.9057	states/eV/atom
DFT total energy	-6.283	eV/atom
formation enthalpy at 0 K	190	meV per atom
crystal system	cubic

Cell lengths 6.772, 6.772, 6.772 Å; angles 90.00, 90.00, 90.00 degrees
Space group F-43m (No. 216)
Symmetry-distinct sites (fractional):
Mg: 0.000 0.000 0.000 [4 per cell]
Sc: 0.250 0.250 0.750 [4 per cell]
Ti: 0.250 0.250 0.250 [4 per cell]
Nb: 0.000 0.000 0.500 [4 per cell]

Record 5
An optimized crystal structure of LaY4Ho8. Source: Alexandria via LeMat-Bulk, functional PBE.

Values from the calculation:
magnetic moment	0.00	Bohr magnetons per cell
D(E_F)	1.3664	states/eV/atom
DFT total energy	-5.000	eV/atom
formation enthalpy at 0 K	185	meV per atom
crystal system	trigonal

Cell lengths 7.3187, 7.3187, 26.9308 Å; angles 90.00, 90.00, 120.00 degrees
Space group R-3m (No. 166, hexagonal axes)
Symmetry-distinct sites (fractional):
La: 0.0000 0.0000 0.0000 [3 per cell]
Y: 0.0000 0.0000 0.5000 [3 per cell]
Y: 0.0000 0.5000 0.5000 [9 per cell]
Ho: 0.0000 0.0000 0.2808 [6 per cell]
Ho: 0.0378 0.5189 0.2692 [18 per cell]

Record 6
An optimized crystal structure of KTe4AsPb2. Source: Alexandria via LeMat-Bulk, functional PBE.

Values from the calculation:
magnetic moment	0.00	Bohr magnetons per cell
D(E_F)	0.2170	states/eV/atom
DFT total energy	-3.507	eV/atom
formation energy (no corrections)	-2.32	eV per formula unit
crystal system	orthorhombic

Cell lengths 9.154, 9.155, 12.845 Å; angles 90.00, 90.00, 90.00 degrees
Space group Imma (No. 74)
Symmetry-distinct sites (fractional):
K: 0.250 0.250 0.250 [4 per cell]
Te: 0.000 0.010 0.736 [8 per cell]
Te: 0.222 0.250 0.504 [8 per cell]
As: 0.000 0.000 0.500 [4 per cell]
Pb: 0.000 0.000 0.000 [4 per cell]
Pb: 0.250 0.250 0.750 [4 per cell]

Record 7
An optimized crystal structure of AlBi. Source: Alexandria via LeMat-Bulk, functional PBE.

Values from the calculation:
magnetic moment	0.00	Bohr magnetons per cell
D(E_F)	0.1070	states/eV/atom
DFT total energy	-3.543	eV/atom
formation enthalpy at 0 K	269	meV per atom
crystal system	cubic

Cell lengths 8.823, 8.823, 8.823 Å; angles 90.00, 90.00, 90.00 degrees
Space group I-43m (No. 217)
Symmetry-distinct sites (fractional):
Al: 0.151 0.151 0.151 [8 per cell]
Bi: 0.168 0.168 0.832 [8 per cell]

Record 8
An optimized crystal structure of Ag5Pb3. Source: Alexandria via LeMat-Bulk, functional PBE.

Values from the calculation:
magnetic moment	0.00	Bohr magnetons per cell
offset from the most stable computed form	55	meV per atom
D(E_F)	0.2948	states/eV/atom
DFT total energy	-3.001	eV/atom
formation enthalpy at 0 K	172	meV per atom
crystal system	hexagonal

Cell lengths 8.9276, 8.9276, 5.4710 Å; angles 90.00, 90.00, 120.00 degrees
Space group P6_3/mcm (No. 193)
Symmetry-distinct sites (fractional):
Ag: 0.0000 0.1881 0.2500 [6 per cell]
Ag: 0.3333 0.6667 0.0000 [4 per cell]
Pb: 0.0000 0.3903 0.7500 [6 per cell]

Record 9
An optimized crystal structure of Tl2PbF. Source: Alexandria via LeMat-Bulk, functional PBE.

Values from the calculation:
magnetic moment	0.00	Bohr magnetons per cell
offset from the most stable computed form	152	meV per atom
D(E_F)	1.0330	states/eV/atom
DFT total energy	-3.106	eV/atom
formation energy (no corrections)	-2.11	eV per formula unit
crystal system	cubic

Cell lengths 7.437, 7.437, 7.437 Å; angles 90.00, 90.00, 90.00 degrees
Space group Fm-3m (No. 225)
Symmetry-distinct sites (fractional):
Tl: 0.250 0.250 0.250 [8 per cell]
Pb: 0.000 0.000 0.000 [4 per cell]
F: 0.000 0.000 0.500 [4 per cell]

Record 10
An optimized crystal structure of Co7Ni4. Source: Alexandria via LeMat-Bulk, functional PBE.

Values from the calculation:
magnetic moment	15.18	Bohr magnetons per cell
D(E_F)	1.4938	states/eV/atom
DFT total energy	-6.186	eV/atom
formation enthalpy at 0 K	439	meV per atom
crystal system	hexagonal

Cell lengths 6.4803, 6.4803, 3.6853 Å; angles 90.00, 90.00, 120.00 degrees
Space group P-6m2 (No. 187)
Symmetry-distinct sites (fractional):
Co: 0.0000 0.0000 0.0000 [1 per cell]
Co: 0.2031 0.4062 0.5000 [3 per cell]
Co: 0.5348 0.0695 0.0000 [3 per cell]
Ni: 0.3333 0.6667 0.0000 [1 per cell]
Ni: 0.3989 0.1995 0.5000 [3 per cell]

Look up the magnetic moment of the sixth one.
0.00 Bohr magnetons per cell

Please write out number 8 again, unchanged.
An optimized crystal structure of Ag5Pb3. Source: Alexandria via LeMat-Bulk, functional PBE.

Values from the calculation:
magnetic moment	0.00	Bohr magnetons per cell
offset from the most stable computed form	55	meV per atom
D(E_F)	0.2948	states/eV/atom
DFT total energy	-3.001	eV/atom
formation enthalpy at 0 K	172	meV per atom
crystal system	hexagonal

Cell lengths 8.9276, 8.9276, 5.4710 Å; angles 90.00, 90.00, 120.00 degrees
Space group P6_3/mcm (No. 193)
Symmetry-distinct sites (fractional):
Ag: 0.0000 0.1881 0.2500 [6 per cell]
Ag: 0.3333 0.6667 0.0000 [4 per cell]
Pb: 0.0000 0.3903 0.7500 [6 per cell]

Which formula does entry 9 have?
Tl2PbF